(1)
Compound: NdSiPt4
Source: Alexandria
Functional: PBE-GGA
Structure: optimized geometry

As for the raw formation energy: -0.850 eV/atom. The total moment is 0.00 μB per cell. As for the total energy: -78.91 eV per cell. For the density of states at the Fermi level, the calculation gives 0.23 states/eV per atom.

Cell and atoms, written as CIF:
```
data_NdSiPt4
_chemical_formula_sum 'Nd2 Si2 Pt8'
_cell_length_a 7.753
_cell_length_b 3.917
_cell_length_c 7.004
_cell_angle_alpha 90.00
_cell_angle_beta 90.00
_cell_angle_gamma 90.00
_space_group_name_H-M_alt 'P m m a'
_space_group_IT_number 51
_space_group_name_Hall '-P 2a 2a'
loop_
_atom_site_label
_atom_site_type_symbol
_atom_site_fract_x
_atom_site_fract_y
_atom_site_fract_z
Nd1 Nd 0.250 0.000 0.128
Si1 Si 0.250 0.000 0.705
Pt1 Pt 0.000 0.000 0.500
Pt2 Pt 0.060 0.500 0.807
Pt3 Pt 0.250 0.500 0.455
```

---

(2)
Compound: NdSiPt2
Source: Alexandria
Functional: PBE-GGA
Structure: optimized geometry

As for the raw formation energy: -0.986 eV/atom. The total moment is 0.00 μB per cell. As for the total energy: -78.65 eV per cell. For the density of states at the Fermi level, the calculation gives 0.33 states/eV per atom.

Cell and atoms, written as CIF:
```
data_NdSiPt2
_chemical_formula_sum 'Nd3 Si3 Pt6'
_cell_length_a 4.1945
_cell_length_b 4.1945
_cell_length_c 15.7594
_cell_angle_alpha 90.00
_cell_angle_beta 90.00
_cell_angle_gamma 120.00
_space_group_name_H-M_alt 'R -3 m'
_space_group_IT_number 166
_space_group_name_Hall '-R 3 2"'
loop_
_atom_site_label
_atom_site_type_symbol
_atom_site_fract_x
_atom_site_fract_y
_atom_site_fract_z
Nd1 Nd 0.0000 0.0000 0.0000
Si1 Si 0.0000 0.0000 0.5000
Pt1 Pt 0.0000 0.0000 0.2100
```

---

(3)
Compound: Nd2Si12Pt7
Source: Alexandria
Functional: PBE-GGA
Structure: optimized geometry

As for the raw formation energy: -0.603 eV/atom. The total moment is 0.00 μB per cell. As for the total energy: -129.56 eV per cell. For the density of states at the Fermi level, the calculation gives 0.23 states/eV per atom.

Cell and atoms, written as CIF:
```
data_Nd2Si12Pt7
_chemical_formula_sum 'Nd2 Si12 Pt7'
_cell_length_a 10.0304
_cell_length_b 10.0304
_cell_length_c 4.0353
_cell_angle_alpha 90.00
_cell_angle_beta 90.00
_cell_angle_gamma 120.00
_space_group_name_H-M_alt 'P -3'
_space_group_IT_number 147
_space_group_name_Hall '-P 3'
loop_
_atom_site_label
_atom_site_type_symbol
_atom_site_fract_x
_atom_site_fract_y
_atom_site_fract_z
Nd1 Nd 0.3333 0.6667 0.2281
Si1 Si 0.0663 0.4384 0.7656
Si2 Si 0.1224 0.2644 0.2265
Pt1 Pt 0.0000 0.0000 0.0000
Pt2 Pt 0.1025 0.7012 0.7121
```

---

(4)
Compound: NdSi3Pt6
Source: Alexandria
Functional: PBE-GGA
Structure: optimized geometry

As for the raw formation energy: -0.769 eV/atom. The total moment is 0.00 μB per cell. As for the total energy: -194.91 eV per cell. For the density of states at the Fermi level, the calculation gives 0.37 states/eV per atom.

Cell and atoms, written as CIF:
```
data_NdSi3Pt6
_chemical_formula_sum 'Nd3 Si9 Pt18'
_cell_length_a 6.3115
_cell_length_b 6.3115
_cell_length_c 15.9535
_cell_angle_alpha 90.00
_cell_angle_beta 90.00
_cell_angle_gamma 120.00
_space_group_name_H-M_alt 'R 3'
_space_group_IT_number 146
_space_group_name_Hall 'R 3'
loop_
_atom_site_label
_atom_site_type_symbol
_atom_site_fract_x
_atom_site_fract_y
_atom_site_fract_z
Nd1 Nd 0.0000 0.0000 0.0000
Si1 Si 0.0000 0.0000 0.2476
Si2 Si 0.0000 0.0000 0.6237
Si3 Si 0.0000 0.0000 0.7971
Pt1 Pt 0.0336 0.4723 0.0334
Pt2 Pt 0.0468 0.3721 0.1934
```

---

(5)
Compound: Nd2Si3Pt5
Source: Alexandria
Functional: PBE-GGA
Structure: optimized geometry

As for the raw formation energy: -0.906 eV/atom. The total moment is 0.00 μB per cell. As for the total energy: -260.29 eV per cell. For the density of states at the Fermi level, the calculation gives 0.52 states/eV per atom.

Cell and atoms, written as CIF:
```
data_Nd2Si3Pt5
_chemical_formula_sum 'Nd8 Si12 Pt20'
_cell_length_a 4.150
_cell_length_b 26.274
_cell_length_c 6.786
_cell_angle_alpha 90.00
_cell_angle_beta 90.00
_cell_angle_gamma 90.00
_space_group_name_H-M_alt 'C m c 21'
_space_group_IT_number 36
_space_group_name_Hall 'C 2c -2'
loop_
_atom_site_label
_atom_site_type_symbol
_atom_site_fract_x
_atom_site_fract_y
_atom_site_fract_z
Nd1 Nd 0.000 0.021 0.000
Nd2 Nd 0.000 0.326 0.015
Si1 Si 0.000 0.112 0.755
Si2 Si 0.000 0.285 0.581
Si3 Si 0.000 0.443 0.789
Pt1 Pt 0.000 0.091 0.402
Pt2 Pt 0.000 0.196 0.885
Pt3 Pt 0.000 0.236 0.271
Pt4 Pt 0.000 0.379 0.513
Pt5 Pt 0.000 0.441 0.172
```

---

(6)
Compound: NdSi2Pt4
Source: Alexandria
Functional: PBE-GGA
Structure: optimized geometry

As for the raw formation energy: -0.869 eV/atom. The total moment is 0.00 μB per cell. As for the total energy: -183.44 eV per cell. For the density of states at the Fermi level, the calculation gives 0.45 states/eV per atom.

Cell and atoms, written as CIF:
```
data_NdSi2Pt4
_chemical_formula_sum 'Nd4 Si8 Pt16'
_cell_length_a 19.065
_cell_length_b 4.045
_cell_length_c 6.397
_cell_angle_alpha 90.00
_cell_angle_beta 90.00
_cell_angle_gamma 90.00
_space_group_name_H-M_alt 'P n m a'
_space_group_IT_number 62
_space_group_name_Hall '-P 2ac 2n'
loop_
_atom_site_label
_atom_site_type_symbol
_atom_site_fract_x
_atom_site_fract_y
_atom_site_fract_z
Nd1 Nd 0.137 0.250 0.010
Si1 Si 0.042 0.750 0.264
Si2 Si 0.198 0.250 0.577
Pt1 Pt 0.019 0.750 0.851
Pt2 Pt 0.067 0.250 0.535
Pt3 Pt 0.161 0.750 0.374
Pt4 Pt 0.234 0.750 0.761
```